# 1
This record from Alexandria describes a relaxed Co7Rh crystal. The functional is PBE.

Geometry as POSCAR:
```
Co7Rh
1.0
4.078 0.000 0.000
0.000 4.408 -2.545
0.000 0.000 5.090
Rh Co
1 7
Cartesian
0.000 0.000 0.000
0.000 2.205 1.271
2.039 3.651 -1.233
0.000 2.205 -1.271
2.039 1.469 2.545
2.039 3.651 1.233
2.039 1.515 0.000
0.000 4.407 0.000
```

excess energy over the best structure of this formula in the dataset = 0.0000 eV/atom
calculated volume = 91.5 Å³/f.u.
magnetization = 12.41 μB per formula unit
E_form = 23 meV per atom
space group = P-6m2 (187)

---

# 2
This record from Alexandria describes a relaxed CoRh3 crystal. The functional is PBE.

Geometry as POSCAR:
```
CoRh3
1.0
5.010 0.002 0.008
-2.270 4.466 0.008
-2.270 -3.703 2.496
Rh Co
3 1
Cartesian
-2.270 0.381 1.252
1.370 -1.850 1.252
1.370 2.234 0.008
0.000 0.000 0.000
```

calculated volume = 56.1 Å³/f.u.
magnetization = 4.23 μB per formula unit
E_form = 316 meV per atom
space group = R-3m (166)

---

# 3
This record from Alexandria describes a relaxed Co2Rh crystal. The functional is PBE.

Geometry as POSCAR:
```
Co2Rh
1.0
-0.597 4.870 4.412
-0.321 -2.815 -5.959
-4.008 -1.201 0.783
Co Rh
4 2
Cartesian
-0.505 2.316 0.966
-2.463 0.427 -0.382
-0.413 -0.262 -2.513
0.000 0.000 0.000
-2.369 -2.184 -3.905
-2.557 3.037 3.141
```

calculated volume = 37.5 Å³/f.u.
magnetization = 4.43 μB per formula unit
E_form = 170 meV per atom
space group = Cmmm (65)

---

# 4
This record from Alexandria describes a relaxed Co2Rh crystal. The functional is PBE.

Geometry as POSCAR:
```
Co2Rh
1.0
-1.110 1.166 -2.039
0.294 -3.365 -2.084
-13.877 -4.349 5.064
Co Rh
8 4
Cartesian
-11.053 -6.057 2.551
-0.420 -0.996 -0.341
-9.876 -4.931 0.899
-4.816 -1.617 0.041
-6.926 -2.278 0.811
-7.766 -4.270 0.129
-13.162 -6.718 3.321
-2.530 -1.657 0.429
-8.495 -3.527 2.606
-5.088 -4.187 0.374
-1.965 -2.451 -1.988
-12.728 -4.096 2.928
```

calculated volume = 39.7 Å³/f.u.
magnetization = 4.39 μB per formula unit
E_form = 278 meV per atom
space group = Imma (74)

---

# 5
This record from Alexandria describes a relaxed Co2Rh crystal. The functional is PBE.

Geometry as POSCAR:
```
Co2Rh
1.0
4.704 0.000 0.000
2.352 4.074 0.000
2.352 1.358 3.841
Co Rh
4 2
Cartesian
4.704 2.716 1.921
3.528 2.037 0.000
2.352 2.716 1.921
3.528 0.679 1.921
1.176 0.679 0.480
8.233 4.753 3.361
```

calculated volume = 36.8 Å³/f.u.
magnetization = 4.53 μB per formula unit
E_form = 45 meV per atom
space group = Fd-3m (227)

---

# 6
This record from Alexandria describes a relaxed Co2Rh3 crystal. The functional is PBE.

Geometry as POSCAR:
```
Co2Rh3
1.0
-1.513 1.513 7.331
1.513 -1.513 7.331
1.513 1.513 -7.331
Rh Co
3 2
Cartesian
0.000 0.000 0.000
0.000 0.000 2.806
0.000 0.000 11.856
0.000 0.000 5.930
0.000 0.000 8.731
```

excess energy over the best structure of this formula in the dataset = 0.1446 eV/atom
calculated volume = 67.1 Å³/f.u.
magnetization = 6.84 μB per formula unit
E_form = 202 meV per atom
space group = I4/mmm (139)

---

# 7
This record from Alexandria describes a relaxed Co2Rh crystal. The functional is PBE.

Geometry as POSCAR:
```
Co2Rh
1.0
-1.356 1.783 1.354
-4.261 1.568 -6.330
-2.360 -2.526 0.963
Co Rh
4 2
Cartesian
-1.391 0.512 -2.066
-3.915 0.386 -1.897
-0.074 0.027 -0.109
-2.598 -0.099 0.059
-5.461 0.955 -4.194
-2.788 1.026 -4.142
```

calculated volume = 36.6 Å³/f.u.
magnetization = 3.75 μB per formula unit
E_form = 62 meV per atom
space group = Pmmn (59)

---

# 8
This record from Alexandria describes a relaxed Co4Rh crystal. The functional is PBE.

Geometry as POSCAR:
```
Co4Rh
1.0
-2.721 2.921 2.032
-2.834 -0.232 -3.461
-2.152 -3.388 1.989
Co Rh
4 1
Cartesian
-2.493 -1.810 -0.736
-2.777 1.345 -0.715
-2.437 -0.233 2.010
0.000 0.000 0.000
-3.854 -0.349 0.280
```

excess energy over the best structure of this formula in the dataset = 1.5870 eV/atom
calculated volume = 89.9 Å³/f.u.
magnetization = 9.18 μB per formula unit
E_form = 1627 meV per atom
space group = Pm-3m (221)

---

# 9
This record from Alexandria describes a relaxed CoRh3 crystal. The functional is PBE.

Geometry as POSCAR:
```
CoRh3
1.0
3.765 0.000 0.000
0.000 3.765 0.000
0.000 0.000 3.765
Rh Co
3 1
Cartesian
0.000 1.882 1.882
1.882 1.882 0.000
1.882 0.000 1.882
0.000 0.000 0.000
```

calculated volume = 53.4 Å³/f.u.
magnetization = 0.00 μB per formula unit
E_form = 91 meV per atom
space group = Pm-3m (221)

---

# 10
This record from Alexandria describes a relaxed Co7Rh3 crystal. The functional is PBE.

Geometry as POSCAR:
```
Co7Rh3
1.0
-1.724 0.962 3.080
-3.001 -4.190 -0.371
5.900 -2.782 2.000
Rh Co
3 7
Cartesian
1.007 -2.568 3.539
0.000 0.000 0.000
0.169 -3.441 1.170
-0.789 -1.230 2.115
1.728 -1.326 1.381
-1.501 -2.095 -0.185
3.444 -2.668 2.762
-0.552 -4.684 3.327
-2.269 -3.342 1.947
1.965 -4.780 2.594
```

calculated volume = 121.7 Å³/f.u.
magnetization = 14.68 μB per formula unit
E_form = 57 meV per atom
space group = C2/m (12)

---

# 11
This record from Alexandria describes a relaxed Co2Rh crystal. The functional is PBE.

Geometry as POSCAR:
```
Co2Rh
1.0
2.624 0.000 0.000
0.000 3.592 0.000
-1.312 -1.796 3.918
Rh Co
1 2
Cartesian
0.000 0.000 0.000
1.312 1.796 1.343
0.000 0.000 2.575
```

calculated volume = 36.9 Å³/f.u.
magnetization = 4.38 μB per formula unit
E_form = 61 meV per atom
space group = Immm (71)

---

# 12
This record from Alexandria describes a relaxed CoRh3 crystal. The functional is PBE.

Geometry as POSCAR:
```
CoRh3
1.0
2.694 0.000 0.000
-1.347 2.333 0.000
0.000 0.000 8.622
Co Rh
1 3
Cartesian
0.000 0.000 0.000
0.000 1.555 2.052
0.000 0.000 4.311
0.000 1.555 6.570
```

calculated volume = 54.2 Å³/f.u.
magnetization = 2.36 μB per formula unit
E_form = 39 meV per atom
space group = P-6m2 (187)

---

# 13
This record from Alexandria describes a relaxed Co2Rh3 crystal. The functional is PBE.

Geometry as POSCAR:
```
Co2Rh3
1.0
4.118 0.884 -2.071
-0.940 4.105 -2.071
0.359 0.564 7.251
Rh Co
6 4
Cartesian
0.360 0.565 -0.469
2.435 4.647 -2.208
0.864 4.147 1.085
3.146 2.973 -0.531
2.807 3.585 3.094
0.507 2.764 3.488
1.712 1.808 1.289
2.359 1.793 4.915
3.877 1.386 2.442
0.701 3.012 -1.184
```

excess energy over the best structure of this formula in the dataset = 0.1889 eV/atom
calculated volume = 68.4 Å³/f.u.
magnetization = 5.59 μB per formula unit
E_form = 246 meV per atom
space group = Fdd2 (43)

---

# 14
This record from Alexandria describes a relaxed Co4Rh crystal. The functional is PBE.

Geometry as POSCAR:
```
Co4Rh
1.0
-2.742 4.937 -0.920
-3.705 -2.696 -3.426
-4.288 0.792 -0.763
Co Rh
4 1
Cartesian
-4.420 2.371 -2.785
-2.354 2.421 -1.213
-4.093 -0.181 -3.133
-2.027 -0.130 -1.561
0.000 0.000 0.000
```

excess energy over the best structure of this formula in the dataset = 0.0000 eV/atom
calculated volume = 58.8 Å³/f.u.
magnetization = 7.64 μB per formula unit
E_form = 40 meV per atom
space group = I4/m (87)

---

# 15
This record from Alexandria describes a relaxed Co3Rh crystal. The functional is PBE.

Geometry as POSCAR:
```
Co3Rh
1.0
4.420 0.020 0.000
-1.429 4.182 0.000
0.000 0.000 2.591
Co Rh
3 1
Cartesian
0.000 0.000 0.000
-0.714 2.091 1.295
2.210 0.010 1.295
1.495 2.101 0.000
```

calculated volume = 48.0 Å³/f.u.
magnetization = 5.85 μB per formula unit
E_form = 57 meV per atom
space group = Cmmm (65)

---

# 16
This record from Alexandria describes a relaxed Co4Rh crystal. The functional is PBE.

Geometry as POSCAR:
```
Co4Rh
1.0
-0.226 -2.611 -0.694
3.677 -2.306 2.183
-2.580 0.547 4.080
Rh Co
1 4
Cartesian
1.303 -2.562 3.917
-0.249 -1.853 1.758
-0.821 -0.964 3.893
1.622 -3.326 1.391
-0.113 -0.038 0.180
```

excess energy over the best structure of this formula in the dataset = 0.0385 eV/atom
calculated volume = 59.0 Å³/f.u.
magnetization = 7.89 μB per formula unit
E_form = 79 meV per atom
space group = I4/m (87)

---

# 17
This record from Alexandria describes a relaxed Co2Rh crystal. The functional is PBE.

Geometry as POSCAR:
```
Co2Rh
1.0
-2.630 0.931 -4.041
-1.354 -1.310 -4.534
-1.196 -2.761 9.448
Co Rh
4 2
Cartesian
-5.129 -3.108 0.862
-1.314 -2.040 5.871
-2.141 -1.969 3.407
-3.072 -1.186 -2.552
-3.151 -0.435 -6.167
-2.263 -1.269 -0.086
```

calculated volume = 36.8 Å³/f.u.
magnetization = 4.16 μB per formula unit
E_form = 35 meV per atom
space group = Cm (8)

---

# 18
This record from Alexandria describes a relaxed Co3Rh2 crystal. The functional is PBE.

Geometry as POSCAR:
```
Co3Rh2
1.0
0.000 2.207 10.681
1.359 0.000 10.681
1.359 2.207 0.000
Rh Co
2 3
Cartesian
1.359 2.207 17.213
1.359 2.207 4.148
0.000 0.000 0.000
1.359 2.207 8.691
1.359 2.207 12.670
```

excess energy over the best structure of this formula in the dataset = 0.1890 eV/atom
calculated volume = 64.1 Å³/f.u.
magnetization = 6.93 μB per formula unit
E_form = 250 meV per atom
space group = Fmmm (69)

---

# 19
This record from Alexandria describes a relaxed Co2Rh crystal. The functional is PBE.

Geometry as POSCAR:
```
Co2Rh
1.0
2.624 0.000 0.000
0.000 10.654 0.000
0.000 0.000 2.624
Co Rh
4 2
Cartesian
0.000 0.153 0.000
0.000 3.398 0.000
0.000 7.103 0.000
1.312 1.776 1.312
1.312 5.261 1.312
1.312 8.945 1.312
```

calculated volume = 36.7 Å³/f.u.
magnetization = 4.08 μB per formula unit
E_form = 63 meV per atom
space group = P4/mmm (123)

---

# 20
This record from Alexandria describes a relaxed Co4Rh crystal. The functional is PBE.

Geometry as POSCAR:
```
Co4Rh
1.0
5.294 5.875 7.244
5.350 7.464 5.278
-1.847 0.369 1.687
Co Rh
4 1
Cartesian
1.885 4.243 4.924
-0.528 1.739 2.832
9.325 11.970 11.378
6.912 9.465 9.286
4.399 6.854 7.105
```

excess energy over the best structure of this formula in the dataset = 0.1495 eV/atom
calculated volume = 60.2 Å³/f.u.
magnetization = 7.93 μB per formula unit
E_form = 190 meV per atom
space group = Fmmm (69)

---

# 21
This record from Alexandria describes a relaxed Co3Rh2 crystal. The functional is PBE.

Geometry as POSCAR:
```
Co3Rh2
1.0
-1.321 1.321 8.847
1.321 -1.321 8.847
1.321 1.321 -8.847
Rh Co
2 3
Cartesian
0.000 0.000 3.435
0.000 0.000 14.259
0.000 0.000 7.240
0.000 0.000 10.454
0.000 0.000 0.000
```

excess energy over the best structure of this formula in the dataset = 0.0000 eV/atom
calculated volume = 61.8 Å³/f.u.
magnetization = 5.41 μB per formula unit
E_form = 62 meV per atom
space group = I4/mmm (139)

---

# 22
This record from Alexandria describes a relaxed Co2Rh crystal. The functional is PBE.

Geometry as POSCAR:
```
Co2Rh
1.0
5.700 0.000 0.000
0.000 5.700 0.000
0.000 0.000 5.700
Rh Co
4 8
Cartesian
2.850 2.850 0.000
0.000 2.850 2.850
2.850 0.000 2.850
0.000 0.000 0.000
5.054 0.646 3.496
2.204 2.204 2.204
3.496 5.054 0.646
0.646 3.496 5.054
0.646 5.054 2.204
2.204 0.646 5.054
3.496 3.496 3.496
5.054 2.204 0.646
```

calculated volume = 46.3 Å³/f.u.
magnetization = 4.53 μB per formula unit
E_form = 926 meV per atom
space group = Pa-3 (205)

---

# 23
This record from Alexandria describes a relaxed Co3Rh crystal. The functional is PBE.

Geometry as POSCAR:
```
Co3Rh
1.0
-2.450 -0.138 -0.854
0.529 -0.434 2.507
-1.007 7.990 1.595
Co Rh
3 1
Cartesian
-0.493 3.910 0.781
-0.716 1.662 1.785
-0.011 0.085 0.017
-1.219 5.658 2.583
```

calculated volume = 48.0 Å³/f.u.
magnetization = 5.81 μB per formula unit
E_form = 52 meV per atom
space group = P-6m2 (187)

---

# 24
This record from Alexandria describes a relaxed CoRh3 crystal. The functional is PBE.

Geometry as POSCAR:
```
CoRh3
1.0
-0.815 -5.330 0.304
3.060 -0.638 -2.985
3.208 -0.299 3.352
Rh Co
6 2
Cartesian
0.340 -1.386 0.645
-0.067 -4.045 0.796
3.582 -4.567 1.519
3.990 -1.897 1.367
1.709 -2.862 2.364
2.621 -0.421 -0.352
2.155 -0.201 2.252
2.176 -3.082 -0.240
```

calculated volume = 54.2 Å³/f.u.
magnetization = 3.02 μB per formula unit
E_form = 45 meV per atom
space group = Pmmn (59)

---

# 25
This record from Alexandria describes a relaxed CoRh3 crystal. The functional is PBE.

Geometry as POSCAR:
```
CoRh3
1.0
4.823 0.000 0.000
0.000 4.823 0.000
0.000 0.000 4.823
Rh Co
6 2
Cartesian
0.000 1.206 2.411
1.206 2.411 0.000
2.411 0.000 3.617
3.617 2.411 0.000
0.000 3.617 2.411
2.411 0.000 1.206
2.411 2.411 2.411
0.000 0.000 0.000
```

calculated volume = 56.1 Å³/f.u.
magnetization = 3.40 μB per formula unit
E_form = 290 meV per atom
space group = Pm-3n (223)

---

# 26
This record from Alexandria describes a relaxed Co3Rh crystal. The functional is PBE.

Geometry as POSCAR:
```
Co3Rh
1.0
-1.497 2.106 0.353
-2.134 -1.457 -0.359
-0.248 -1.330 6.881
Co Rh
3 1
Cartesian
-0.244 -1.308 6.768
-0.128 -0.687 3.553
-2.002 -0.673 5.158
-1.878 -0.008 1.717
```

calculated volume = 47.7 Å³/f.u.
magnetization = 5.83 μB per formula unit
E_form = 57 meV per atom
space group = P4/mmm (123)

---

# 27
This record from Alexandria describes a relaxed Co8Rh3 crystal. The functional is PBE.

Geometry as POSCAR:
```
Co8Rh3
1.0
2.549 0.000 -0.381
-0.097 4.002 -0.651
0.632 0.066 12.936
Co Rh
8 3
Cartesian
1.957 0.760 4.375
1.467 3.687 9.809
2.094 2.966 5.286
1.616 0.380 2.095
1.126 3.307 7.529
1.399 2.193 0.639
1.685 1.874 11.265
0.990 1.101 6.618
0.470 2.577 3.138
0.000 0.000 0.000
2.614 1.490 8.766
```

calculated volume = 133.0 Å³/f.u.
magnetization = 16.55 μB per formula unit
E_form = 56 meV per atom
space group = Immm (71)